1.
A plane-wave DFT calculation with PBE was carried out for a relaxed DyTaRu2 crystal.

a b c (Å): 4.6525 4.6525 3.2385
angles (deg): 90.00 90.00 90.00
With the nearest neighbours (Å) after each atom.
Space group P4/mmm (No. 123)
Unique sites:
Dy  0.0000  0.0000  0.0000 [1 per cell]  8 Ru 2.83
Ta  0.5000  0.5000  0.0000 [1 per cell]  8 Ru 2.83
Ru  0.0000  0.5000  0.5000 [2 per cell]  4 Ta 2.83, 4 Dy 2.83

***

2.
A plane-wave DFT calculation with PBE was carried out for a relaxed DyTaRu2 crystal.

a b c (Å): 6.5372 6.5372 6.5372
angles (deg): 90.00 90.00 90.00
With the nearest neighbours (Å) after each atom.
Space group Fm-3m (No. 225)
Unique sites:
Dy  0.0000  0.0000  0.0000 [4 per cell]  8 Ru 2.83
Ta  0.0000  0.0000  0.5000 [4 per cell]  8 Ru 2.83
Ru  0.2500  0.2500  0.2500 [8 per cell]  4 Ta 2.83, 4 Dy 2.83

***

3.
A plane-wave DFT calculation with PBE was carried out for a relaxed DyTaTcRu crystal.

a b c (Å): 6.5526 6.5526 6.5526
angles (deg): 90.00 90.00 90.00
With the nearest neighbours (Å) after each atom.
Space group F-43m (No. 216)
Unique sites:
Dy  0.0000  0.0000  0.0000 [4 per cell]  4 Tc 2.84, 4 Ru 2.84
Ta  0.0000  0.0000  0.5000 [4 per cell]  4 Ru 2.84, 4 Tc 2.84
Tc  0.2500  0.2500  0.2500 [4 per cell]  4 Ta 2.84, 4 Dy 2.84
Ru  0.2500  0.2500  0.7500 [4 per cell]  4 Ta 2.84, 4 Dy 2.84

***

4.
A plane-wave DFT calculation with PBE was carried out for a relaxed TbDy5Ru3 crystal.

a b c (Å): 12.2828 9.0238 9.9420
angles (deg): 90.00 112.66 90.00
With the nearest neighbours (Å) after each atom.
Space group C2/m (No. 12)
Unique sites:
Tb  0.1011  0.0000  0.2997 [4 per cell]  3 Ru 2.72-2.75
Dy  0.0000  0.3013  0.0000 [4 per cell]  3 Ru 2.72-2.75
Dy  0.0668  0.5000  0.3675 [4 per cell]  3 Ru 2.72-2.75
Dy  0.1663  0.1991  0.6672 [8 per cell]  3 Ru 2.72-2.75
Dy  0.2329  0.0000  0.0338 [4 per cell]  3 Ru 2.72-2.75
Ru  0.0000  0.0000  0.0000 [2 per cell]  4 Dy 2.72-2.75, 2 Tb 2.75
Ru  0.0000  0.0000  0.5000 [2 per cell]  2 Tb 2.72, 4 Dy 2.75
Ru  0.1658  0.5000  0.6670 [4 per cell]  5 Dy 2.72-2.75, 1 Tb 2.75
Ru  0.1669  0.5000  0.1667 [4 per cell]  6 Dy 2.72-2.75

***

no.,formation enthalpy at 0 K (meV/atom),total DFT energy (no corrections) (eV/atom)
1,-335,-9.087
2,-360,-9.111
3,-252,-9.277
4,-217,-6.380